Below is a relaxed structure of Tb5Hg2Rh2Au, with properties calculated at the PBE level.

ΔH_f (0 K) = -14.6 kcal/mol of atoms

a b c (Å): 3.666 11.631 11.631
angles (deg): 90.00 90.00 90.00
Atoms (fractional coordinates):
Tb 0.500 0.802 0.915
Hg 0.000 0.171 0.329
Tb 0.500 0.000 0.500
Hg 0.000 0.829 0.671
Hg 0.000 0.329 0.829
Hg 0.000 0.671 0.171
Tb 0.500 0.698 0.415
Tb 0.500 0.585 0.698
Rh 0.000 0.869 0.369
Tb 0.500 0.085 0.802
Au 0.000 0.500 0.500
Rh 0.000 0.369 0.131
Au 0.000 0.000 0.000
Tb 0.500 0.302 0.585
Tb 0.500 0.198 0.085
Rh 0.000 0.631 0.869
Tb 0.500 0.915 0.198
Tb 0.500 0.500 0.000
Tb 0.500 0.415 0.302
Rh 0.000 0.131 0.631

Below is a relaxed structure of V2CoHRu, with properties calculated at the PBE level.

E above lowest polymorph = 75 meV per atom

a b c (Å): 3.820 3.820 3.663
angles (deg): 90.00 90.00 90.00
Site moments in Bohr magnetons follow the coordinates.
Atoms (fractional coordinates):
V 0.000 0.500 0.000  -0.01
V 0.500 0.000 0.000  -0.01
Ru 0.000 0.000 0.500  0.02
H 0.000 0.000 0.000  0.00
Co 0.500 0.500 0.500  0.12

Below is a relaxed structure of MnCrCuTeAu, with properties calculated at the PBE level.

E above lowest polymorph = 137 meV per atom
uncorrected formation energy = 1.3 eV/f.u.

a b c (Å): 8.504 4.435 4.436
angles (deg): 90.00 90.00 90.00
Site moments in Bohr magnetons follow the coordinates.
Atoms (fractional coordinates):
Te 0.397 0.000 0.347  0.04
Au 0.921 0.000 0.847  0.04
Cr 0.736 0.000 0.347  2.71
Cr 0.736 0.500 0.847  2.71
Au 0.921 0.500 0.347  0.04
Mn 0.568 0.500 0.347  -0.35
Cu 0.092 0.000 0.347  -0.02
Mn 0.568 0.000 0.847  -0.35
Te 0.397 0.500 0.847  0.04
Cu 0.092 0.500 0.847  -0.02

Below is a relaxed structure of Ag2RhAuSe, with properties calculated at the PBE level.

uncorrected formation energy = 5.1 eV/f.u.

a b c (Å): 5.118 4.912 5.118
angles (deg): 90.00 90.00 90.00
Site moments in Bohr magnetons follow the coordinates.
Atoms (fractional coordinates):
Ag 0.000 0.000 0.500  -0.01
Se 0.000 0.500 0.000  0.01
Rh 0.500 0.500 0.500  1.18
Au 0.000 0.000 0.000  0.00
Ag 0.500 0.000 0.000  -0.01

Below is a relaxed structure of Ho2TiTe, with properties calculated at the PBE level.

uncorrected formation energy = 0.5 eV/f.u.

a b c (Å): 3.659 3.659 10.379
angles (deg): 79.85 79.85 60.00
Site moments in Bohr magnetons follow the coordinates.
Atoms (fractional coordinates):
Ti 0.000 0.000 0.000  1.35
Ho 0.096 0.096 0.711  0.06
Te 0.500 0.500 0.500  -0.01
Ho 0.904 0.904 0.289  0.06

Below is a relaxed structure of Dy3Ho2ErSb6, with properties calculated at the PBE level.

uncorrected formation energy = -13.4 eV/f.u.

a b c (Å): 4.371 8.744 9.775
angles (deg): 102.87 102.92 90.00
Atoms (fractional coordinates):
Dy 0.833 0.167 0.666
Ho 0.833 0.667 0.667
Dy 0.500 0.500 0.000
Ho 0.167 0.333 0.333
Sb 0.334 0.916 0.668
Sb 0.000 0.751 0.000
Er 0.500 0.000 0.000
Sb 0.666 0.084 0.332
Dy 0.167 0.833 0.334
Sb 0.000 0.249 0.000
Sb 0.333 0.417 0.666
Sb 0.667 0.583 0.334

Below is a relaxed structure of TbPmNd2Te5, with properties calculated at the PBE level.

uncorrected formation energy = -7.3 eV/f.u.

a b c (Å): 5.557 5.557 11.781
angles (deg): 90.00 90.00 90.00
Site moments in Bohr magnetons follow the coordinates.
Atoms (fractional coordinates):
Te 0.500 0.000 0.500  0.00
Te 0.500 0.500 0.000  0.01
Te 0.000 0.000 0.248  0.00
Te 0.000 0.000 0.752  0.00
Pm 0.000 0.000 0.000  0.01
Nd 0.500 0.500 0.343  0.15
Te 0.000 0.500 0.500  0.00
Nd 0.500 0.500 0.657  0.15
Tb 0.000 0.000 0.500  0.02

Below is a relaxed structure of CePmCu, with properties calculated at the PBE level.

ΔH_f (0 K) = 0.0 kcal/mol of atoms
E above lowest polymorph = 21 meV per atom

a b c (Å): 3.545 3.545 6.633
angles (deg): 105.50 105.50 90.00
Site moments in Bohr magnetons follow the coordinates.
Atoms (fractional coordinates):
Pm 0.024 0.024 0.047  0.10
Cu 0.668 0.668 0.336  0.01
Ce 0.308 0.308 0.617  0.76

Below is a relaxed structure of BaHg12Pb6, with properties calculated at the PBE level.

ΔH_f (0 K) = -1.8 kcal/mol of atoms
E above lowest polymorph = 0 meV per atom

a b c (Å): 8.529 9.072 9.072
angles (deg): 69.35 71.74 108.26
Atoms (fractional coordinates):
Pb 0.335 0.797 0.698
Ba 0.000 0.000 0.000
Hg 0.512 0.837 0.271
Hg 0.263 0.454 0.626
Hg 0.488 0.163 0.729
Hg 0.675 0.892 0.837
Hg 0.809 0.920 0.454
Hg 0.737 0.546 0.374
Pb 0.462 0.496 0.203
Hg 0.111 0.374 0.080
Pb 0.538 0.504 0.797
Hg 0.889 0.626 0.920
Hg 0.783 0.271 0.892
Pb 0.967 0.302 0.496
Hg 0.191 0.080 0.546
Pb 0.033 0.698 0.504
Pb 0.665 0.203 0.302
Hg 0.217 0.729 0.108
Hg 0.325 0.108 0.163

Below is a relaxed structure of Zr5NpC6, with properties calculated at the PBE level.

ΔH_f (0 K) = -15.6 kcal/mol of atoms

a b c (Å): 5.822 5.822 5.823
angles (deg): 60.01 80.43 70.58
Site moments in Bohr magnetons follow the coordinates.
Atoms (fractional coordinates):
Zr 0.000 0.666 0.667  0.02
C 0.243 0.242 0.000  -0.02
Zr 0.500 0.832 0.336  0.02
C 0.757 0.758 0.000  -0.02
Zr 0.500 0.168 0.664  0.02
C 0.753 0.406 0.676  -0.03
Zr 0.000 0.334 0.333  0.02
Zr 0.500 0.500 0.000  0.03
Np 0.000 0.000 0.000  1.42
C 0.247 0.594 0.324  -0.03
C 0.247 0.918 0.676  -0.03
C 0.753 0.082 0.324  -0.03

Below is a relaxed structure of Pm2NdScP4, with properties calculated at the PBE level.

ΔH_f (0 K) = -34.4 kcal/mol of atoms

a b c (Å): 4.063 7.017 7.019
angles (deg): 109.47 90.00 90.00
Atoms (fractional coordinates):
Pm 0.500 0.000 0.500
P 0.500 0.765 0.764
P 0.500 0.235 0.236
P 0.000 0.759 0.244
Sc 0.000 0.000 0.000
P 0.000 0.241 0.756
Pm 0.000 0.500 0.500
Nd 0.500 0.500 0.000

Below is a relaxed structure of CdSe2Br, with properties calculated at the PBE level.

E above lowest polymorph = 269 meV per atom
uncorrected formation energy = -0.1 eV/f.u.

a b c (Å): 5.996 5.996 5.996
angles (deg): 144.33 102.55 88.29
Atoms (fractional coordinates):
Se 0.790 0.290 0.500
Br 0.472 0.472 0.000
Cd 0.244 0.744 0.500
Se 0.995 0.995 0.000

Below is a relaxed structure of CdTeN2O, with properties calculated at the PBE level.

uncorrected formation energy = 8.1 eV/f.u.

a b c (Å): 4.218 4.218 4.087
angles (deg): 90.00 90.00 90.00
Site moments in Bohr magnetons follow the coordinates.
Atoms (fractional coordinates):
N 0.500 0.000 0.000  0.29
O 0.000 0.000 0.500  0.00
Cd 0.000 0.000 0.000  0.02
Te 0.500 0.500 0.500  -0.14
N 0.000 0.500 0.000  0.29

Below is a relaxed structure of CuPt2Au3, with properties calculated at the PBE level.

ΔH_f (0 K) = 0.7 kcal/mol of atoms

a b c (Å): 2.803 8.072 9.662
angles (deg): 111.52 98.34 90.00
Atoms (fractional coordinates):
Pt 0.693 0.379 0.385
Cu 0.673 0.046 0.345
Pt 0.069 0.137 0.138
Au 0.296 0.245 0.592
Au 0.070 0.787 0.141
Pt 0.307 0.621 0.615
Pt 0.931 0.863 0.862
Au 0.930 0.213 0.859
Au 0.563 0.452 0.126
Cu 0.327 0.954 0.655
Au 0.437 0.548 0.874
Au 0.704 0.755 0.408

Below is a relaxed structure of AuS3Br2, with properties calculated at the PBE level.

uncorrected formation energy = 1.3 eV/f.u.

a b c (Å): 6.775 6.775 9.130
angles (deg): 64.24 64.24 64.43
Atoms (fractional coordinates):
S 0.843 0.602 0.002
S 0.602 0.843 0.502
Au 0.394 0.606 0.750
Au 0.606 0.394 0.250
S 0.157 0.398 0.998
Br 0.891 0.326 0.439
Br 0.109 0.674 0.561
S 0.398 0.157 0.498
S 0.737 0.263 0.750
S 0.263 0.737 0.250
Br 0.326 0.891 0.939
Br 0.674 0.109 0.061

Below is a relaxed structure of ZrZn2W2, with properties calculated at the PBE level.

ΔH_f (0 K) = 2.8 kcal/mol of atoms

a b c (Å): 6.581 6.581 6.581
angles (deg): 146.66 146.66 47.86
Atoms (fractional coordinates):
Zn 0.596 0.596 0.000
Zn 0.404 0.404 0.000
W 0.750 0.250 0.500
W 0.250 0.750 0.500
Zr 0.000 0.000 0.000

Below is a relaxed structure of Pr2Sm8Dy3, with properties calculated at the PBE level.

ΔH_f (0 K) = 0.4 kcal/mol of atoms
E above lowest polymorph = 0 meV per atom

a b c (Å): 6.273 6.270 11.460
angles (deg): 79.48 90.01 99.56
Atoms (fractional coordinates):
Sm 0.692 0.153 0.382
Dy 0.461 0.770 0.925
Sm 0.381 0.308 0.773
Sm 0.843 0.077 0.696
Sm 0.079 0.461 0.151
Sm 0.157 0.923 0.304
Sm 0.619 0.692 0.227
Pr 0.231 0.384 0.460
Pr 0.769 0.616 0.540
Sm 0.921 0.539 0.849
Sm 0.308 0.847 0.618
Dy 0.000 0.000 0.000
Dy 0.539 0.230 0.075

Below is a relaxed structure of Tb12Y2Sc5, with properties calculated at the PBE level.

ΔH_f (0 K) = 3.4 kcal/mol of atoms

a b c (Å): 8.777 9.125 8.271
angles (deg): 90.37 90.00 118.75
Atoms (fractional coordinates):
Sc 0.250 0.499 0.544
Tb 0.020 0.628 0.776
Tb 0.824 0.219 0.617
Tb 0.605 0.781 0.383
Tb 0.833 0.665 0.131
Tb 0.391 0.372 0.224
Sc 0.000 0.000 0.500
Tb 0.176 0.781 0.383
Sc 0.646 0.292 0.942
Tb 0.446 0.892 0.716
Tb 0.395 0.219 0.617
Y 0.213 0.000 0.000
Tb 0.609 0.628 0.776
Sc 0.354 0.708 0.058
Tb 0.554 0.108 0.284
Tb 0.980 0.372 0.224
Y 0.787 0.000 0.000
Sc 0.750 0.501 0.456
Tb 0.167 0.335 0.869

Below is a relaxed structure of Ni2GeMoN, with properties calculated at the PBE level.

uncorrected formation energy = -0.4 eV/f.u.

a b c (Å): 3.820 3.820 4.105
angles (deg): 90.00 90.00 90.00
Atoms (fractional coordinates):
Ge 0.500 0.500 0.500
N 0.000 0.000 0.000
Ni 0.000 0.500 0.000
Mo 0.000 0.000 0.500
Ni 0.500 0.000 0.000

Below is a relaxed structure of BeSbPt2, with properties calculated at the PBE level.

E above lowest polymorph = 305 meV per atom
uncorrected formation energy = -0.4 eV/f.u.

a b c (Å): 6.748 4.211 3.633
angles (deg): 90.16 57.19 124.57
Atoms (fractional coordinates):
Sb 0.000 0.500 0.500
Pt 0.500 0.000 0.500
Be 0.500 0.500 0.000
Pt 0.000 0.000 0.000